! SrLiMgCd2 (GGA-PBE, optimized geometry); values from VASP
&SYSTEM
  ibrav = 0, nat = 5, ntyp = 4
/
ATOMIC_SPECIES
Li 6.94 Li.upf
Cd 112.41 Cd.upf
Mg 24.30 Mg.upf
Sr 87.62 Sr.upf
CELL_PARAMETERS angstrom
5.100 0.000 0.000
0.000 5.100 0.000
0.000 0.000 5.065
ATOMIC_POSITIONS angstrom
Li 0.000 0.000 0.000
Cd 0.000 2.550 0.000
Cd 2.550 0.000 0.000
Mg 0.000 0.000 2.532
Sr 2.550 2.550 2.532
! **Space group**: No. 123
! **Size of the total moment**: 0.00 μB/atom
! **ρ**: 4.33 g/cm³
! **DFT formation energy**: -0.0843 eV/atom
! **DOS(E_F)**: 2.67 states/eV/f.u.
! **Energy above the most stable polymorph in this dataset**: 129 meV/atom